DFT (PBE-GGA) results for an optimized crystal structure of Tm3In2Hg4.

The value obtained for the calculated density is 11.66 g/cm3.

It has space group C2/m (No. 12), with a = 11.047 Å, b = 4.881 Å, c = 9.218 Å, α = 90.00°, β = 118.11° and γ = 90.00°. The distinct sites, in fractional coordinates, are Tm at (0.000, 0.000, 0.000), Tm at (0.165, 0.500, 0.671), In at (0.108, 0.500, 0.273), Hg at (0.089, 0.000, 0.424) and Hg at (0.192, 0.500, 0.021).

=====

DFT (PBE-GGA) results for an optimized crystal structure of TbTmTcNi.

The value obtained for the calculated density is 10.40 g/cm3.

It has space group F-43m (No. 216), with a = 6.764 Å, b = 6.764 Å, c = 6.764 Å, α = 90.00°, β = 90.00° and γ = 90.00°. The distinct sites, in fractional coordinates, are Tb at (0.000, 0.000, 0.000), Tm at (0.000, 0.000, 0.500), Tc at (0.250, 0.250, 0.750) and Ni at (0.250, 0.250, 0.250).

=====

DFT (PBE-GGA) results for an optimized crystal structure of Ga2CoGeI.

The value obtained for the calculated density is 6.23 g/cm3. The uncorrected formation energy comes out at -0.658 eV/f.u.

It has space group P4/mmm (No. 123), with a = 4.834 Å, b = 4.834 Å, c = 4.540 Å, α = 90.00°, β = 90.00° and γ = 90.00°. The distinct sites, in fractional coordinates, are Ga at (0.000, 0.500, 0.000), Co at (0.000, 0.000, 0.000), Ge at (0.000, 0.000, 0.500) and I at (0.500, 0.500, 0.500).

=====

DFT (PBE-GGA) results for an optimized crystal structure of ScTlCo2.

The value obtained for the calculated density is 9.29 g/cm3.

It has space group F-43m (No. 216), with a = 6.404 Å, b = 6.404 Å, c = 6.404 Å, α = 90.00°, β = 90.00° and γ = 90.00°. The distinct sites, in fractional coordinates, are Sc at (0.000, 0.000, 0.000), Tl at (0.250, 0.250, 0.750), Co at (0.000, 0.000, 0.500) and Co at (0.250, 0.250, 0.250).

=====

DFT (PBE-GGA) results for an optimized crystal structure of ZrIn3Br.

The value obtained for the calculated density is 5.33 g/cm3. The uncorrected formation energy comes out at 3.766 eV/f.u.

It has space group Pm-3m (No. 221), with a = 5.437 Å, b = 5.437 Å, c = 5.437 Å, α = 90.00°, β = 90.00° and γ = 90.00°. The distinct sites, in fractional coordinates, are Zr at (0.000, 0.000, 0.000), In at (0.000, 0.500, 0.500) and Br at (0.500, 0.500, 0.500).

=====

DFT (PBE-GGA) results for an optimized crystal structure of CeNdY6.

The value obtained for the calculated density is 5.19 g/cm3.

It has space group P-1 (No. 2), with a = 6.571 Å, b = 6.654 Å, c = 7.530 Å, α = 115.07°, β = 115.71° and γ = 90.14°. The distinct sites, in fractional coordinates, are Ce at (0.000, 0.000, 0.000), Nd at (0.500, 0.000, 0.000), Y at (0.232, 0.918, 0.464), Y at (0.249, 0.500, 0.001) and Y at (0.259, 0.444, 0.519).

=====

DFT (PBE-GGA) results for an optimized crystal structure of Ti2TlSe4.

The value obtained for the calculated density is 6.35 g/cm3. The uncorrected formation energy comes out at -6.148 eV/f.u.

It has space group Cmcm (No. 63), with a = 3.747 Å, b = 12.925 Å, c = 13.313 Å, α = 90.00°, β = 90.00° and γ = 90.00°. The distinct sites, in fractional coordinates, are Ti at (0.000, 0.130, 0.067), Tl at (0.000, 0.395, 0.250), Se at (0.000, 0.086, 0.250), Se at (0.000, 0.235, 0.602) and Se at (0.000, 0.500, 0.000).

=====

DFT (PBE-GGA) results for an optimized crystal structure of BaTl2Fe.

The value obtained for the calculated density is 8.13 g/cm3.

It has space group Imm2 (No. 44), with a = 4.462 Å, b = 5.678 Å, c = 9.707 Å, α = 90.00°, β = 90.00° and γ = 90.00°. The distinct sites, in fractional coordinates, are Ba at (0.000, 0.000, 0.000), Tl at (0.000, 0.000, 0.563), Tl at (0.000, 0.500, 0.792) and Fe at (0.000, 0.500, 0.224).

=====

DFT (PBE-GGA) results for an optimized crystal structure of Ba3Pt.

The value obtained for the calculated density is 6.98 g/cm3.

It has space group Fm-3m (No. 225), with a = 8.330 Å, b = 8.330 Å, c = 8.330 Å, α = 90.00°, β = 90.00° and γ = 90.00°. The distinct sites, in fractional coordinates, are Ba at (0.000, 0.000, 0.000), Ba at (0.250, 0.250, 0.250) and Pt at (0.000, 0.000, 0.500).

=====

DFT (PBE-GGA) results for an optimized crystal structure of TlMo3P.

The value obtained for the calculated density is 9.47 g/cm3.

It has space group Pm-3m (No. 221), with a = 4.511 Å, b = 4.511 Å, c = 4.511 Å, α = 90.00°, β = 90.00° and γ = 90.00°. The distinct sites, in fractional coordinates, are Tl at (0.000, 0.000, 0.000), Mo at (0.000, 0.500, 0.500) and P at (0.500, 0.500, 0.500).

=====

DFT (PBE-GGA) results for an optimized crystal structure of Cd2SnBr.

The value obtained for the calculated density is 4.74 g/cm3. The uncorrected formation energy comes out at -0.399 eV/f.u.

It has space group I-42d (No. 122), with a = 6.778 Å, b = 6.778 Å, c = 12.920 Å, α = 90.00°, β = 90.00° and γ = 90.00°. The distinct sites, in fractional coordinates, are Cd at (0.233, 0.250, 0.125), Sn at (0.000, 0.000, 0.000) and Br at (0.000, 0.000, 0.500).

=====

DFT (PBE-GGA) results for an optimized crystal structure of Sc2CdSbRh.

The value obtained for the calculated density is 5.68 g/cm3. The uncorrected formation energy comes out at -1.415 eV/f.u.

It has space group P4/mmm (No. 123), with a = 4.940 Å, b = 4.940 Å, c = 5.112 Å, α = 90.00°, β = 90.00° and γ = 90.00°. The distinct sites, in fractional coordinates, are Sc at (0.000, 0.500, 0.000), Cd at (0.000, 0.000, 0.500), Sb at (0.500, 0.500, 0.500) and Rh at (0.000, 0.000, 0.000).

=====

Number 1: calculated total energy -2.609 eV per atom. Number 2: calculated total energy -6.453 eV per atom. Number 3: calculated total energy -3.997 eV per atom. Number 4: calculated total energy -5.507 eV per atom. Number 5: calculated total energy -2.934 eV per atom. Number 6: calculated total energy -5.973 eV per atom. Number 7: calculated total energy -5.463 eV per atom. Number 8: calculated total energy -3.427 eV per atom. Number 9: calculated total energy -2.958 eV per atom. Number 10: calculated total energy -7.499 eV per atom. Number 11: calculated total energy -1.976 eV per atom. Number 12: calculated total energy -5.293 eV per atom.